# 1
# NaPt

A relaxed NaPt crystal (PBE, Alexandria via LeMat-Bulk).

Computed properties:
Its total energy is -14.68 eV/cell. The volume comes out at 39.89 Å³/f.u. The space group is P4/nmm. The energy of formation comes out at 9 meV per atom.

Cell lengths 2.8546, 2.8546, 9.7894 Å; angles 90.00, 90.00, 90.00 degrees
With the nearest neighbours (Å) after each atom.
Element x y z (fractional)
Na1 0.2500 0.2500 0.1778  4 Na 2.85, 4 Pt 2.97
Na2 0.7500 0.7500 0.8222  4 Na 2.85, 4 Pt 2.97
Pt1 0.2500 0.2500 0.6000  8 Pt 2.81-2.85, 4 Na 2.97
Pt2 0.7500 0.7500 0.4000  8 Pt 2.81-2.85, 4 Na 2.97



# 2
# CaIn6Cu

A relaxed CaIn6Cu crystal (PBE, Alexandria via LeMat-Bulk).

Computed properties:
Its total energy is -46.21 eV/cell. The volume comes out at 201.23 Å³/f.u. The space group is Amm2. The energy of formation comes out at -72 meV per atom.

Cell lengths 4.6630, 8.4657, 10.1950 Å; angles 90.00, 90.00, 90.00 degrees
With the nearest neighbours (Å) after each atom.
Element x y z (fractional)
Ca1 0.0000 0.0000 0.0000  12 In 3.24-3.48
Ca2 0.0000 0.5000 0.5000  12 In 3.24-3.48
In1 0.0000 0.2304 0.2675  1 Cu 2.83, 2 In 3.08
In2 0.0000 0.2696 0.7675  1 Cu 2.83, 2 In 3.08
In3 0.0000 0.7304 0.7675  1 Cu 2.83, 2 In 3.08
In4 0.0000 0.7696 0.2675  1 Cu 2.83, 2 In 3.08
In5 0.5000 0.0000 0.2201  8 In 3.08-3.43, 2 Ca 3.24
In6 0.5000 0.0000 0.7728  2 Cu 2.91, 2 In 3.23
In7 0.5000 0.1943 0.5000  2 Cu 3.04, 5 In 3.23-3.34
In8 0.5000 0.3057 0.0000  2 Cu 3.04, 5 In 3.23-3.34
In9 0.5000 0.5000 0.2728  2 Cu 2.91, 2 In 3.23
In10 0.5000 0.5000 0.7201  8 In 3.08-3.43, 2 Ca 3.24
In11 0.5000 0.6943 0.0000  2 Cu 3.04, 5 In 3.23-3.34
In12 0.5000 0.8057 0.5000  2 Cu 3.04, 5 In 3.23-3.34
Cu1 0.0000 0.0000 0.6028  8 In 2.83-3.04
Cu2 0.0000 0.5000 0.1028  8 In 2.83-3.04



# 3
# Ca8CdSn2

A relaxed Ca8CdSn2 crystal (PBE, Alexandria via LeMat-Bulk).

Computed properties:
Its total energy is -28.84 eV/cell. The volume comes out at 357.26 Å³/f.u. The space group is Immm. The energy of formation comes out at -355 meV per atom.

Cell lengths 9.7611, 9.7611, 9.7611 Å; angles 147.02, 134.68, 57.18 degrees
With the nearest neighbours (Å) after each atom.
Element x y z (fractional)
Ca1 0.1249 0.3592 0.7657  1 Cd 3.13, 2 Sn 3.38, 3 Ca 3.46-3.50
Ca2 0.1854 0.1854 0.0000  8 Ca 3.46-3.71, 4 Sn 3.51-3.76
Ca3 0.2555 0.0000 0.2555  2 Cd 3.37, 7 Ca 3.68-3.71, 2 Sn 3.72
Ca4 0.4066 0.6408 0.7657  1 Cd 3.13, 2 Sn 3.38, 3 Ca 3.46-3.50
Ca5 0.5934 0.3592 0.2343  1 Cd 3.13, 2 Sn 3.38, 3 Ca 3.46-3.50
Ca6 0.7445 0.0000 0.7445  2 Cd 3.37, 7 Ca 3.68-3.71, 2 Sn 3.72
Ca7 0.8146 0.8146 0.0000  8 Ca 3.46-3.71, 4 Sn 3.51-3.76
Ca8 0.8751 0.6408 0.2343  1 Cd 3.13, 2 Sn 3.38, 3 Ca 3.46-3.50
Cd1 0.0000 0.5000 0.5000  8 Ca 3.13-3.37
Sn1 0.3113 0.8113 0.5000  12 Ca 3.38-3.76
Sn2 0.6887 0.1887 0.5000  12 Ca 3.38-3.76



Number 1: D(E_F) 1.117 states/eV per atom. Number 2: D(E_F) 0.398 states/eV per atom. Number 3: D(E_F) 0.615 states/eV per atom.